Record 1
DFT (GGA-PBE) results for a geometry-optimized SrY2In2Hg2 structure.

POSCAR file:
```
SrY2In2Hg2
1.0
5.022 0.000 0.000
2.511 4.349 0.000
2.511 1.450 9.534
Sr Y In Hg
1 2 2 2
direct
0.000 0.000 0.000
0.133 0.133 0.602
0.867 0.867 0.398
0.744 0.744 0.768
0.256 0.256 0.232
0.567 0.567 0.300
0.433 0.433 0.700
```

Calculated values
The formation energy from the elements is -235 kJ/mol of formula units. Its crystal system is trigonal. The value obtained for the density of states at the Fermi level is 2.69 states/eV per cell. The density comes out at 7.1 g cm⁻³.

=====

Record 2
DFT (GGA-PBE) results for a geometry-optimized SrZnInHg2 structure.

POSCAR file:
```
SrZnInHg2
1.0
-1.526 0.285 5.045
4.813 -1.522 1.542
1.523 4.999 0.179
Sr Zn Hg In
1 1 2 1
direct
0.500 0.500 0.500
0.000 0.000 0.000
0.000 0.500 0.000
0.500 0.000 0.000
0.000 0.000 0.500
```

Calculated values
The formation energy from the elements is -62 kJ/mol of formula units. Its crystal system is tetragonal. The value obtained for the density of states at the Fermi level is 2.63 states/eV per cell. The density comes out at 7.6 g cm⁻³.

=====

Record 3
DFT (GGA-PBE) results for a geometry-optimized Sr2ZnIn6Hg structure.

POSCAR file:
```
Sr2ZnIn6Hg
1.0
-4.514 2.730 4.932
-7.132 -0.234 -1.110
-4.434 -10.988 7.310
Sr Zn In Hg
4 2 12 2
direct
0.895 0.895 0.315
0.105 0.105 0.685
0.721 0.721 0.838
0.279 0.279 0.162
0.000 0.000 0.000
0.500 0.500 0.500
0.922 0.335 0.407
0.335 0.922 0.407
0.335 0.335 0.407
0.078 0.665 0.593
0.665 0.078 0.593
0.665 0.665 0.593
0.649 0.222 0.907
0.222 0.649 0.907
0.222 0.222 0.907
0.351 0.778 0.093
0.778 0.351 0.093
0.778 0.778 0.093
0.574 0.574 0.277
0.426 0.426 0.723
```

Calculated values
The formation energy from the elements is -131 kJ/mol of formula units. Its crystal system is trigonal. The value obtained for the density of states at the Fermi level is 8.44 states/eV per cell. The density comes out at 6.3 g cm⁻³.

=====

Record 4
DFT (GGA-PBE) results for a geometry-optimized Ta2InHg structure.

POSCAR file:
```
Ta2InHg
1.0
5.132 0.000 0.000
0.000 5.132 0.000
0.000 0.000 2.966
Hg In Ta
1 1 2
direct
0.500 0.000 0.500
0.000 0.500 0.500
0.000 0.000 0.000
0.500 0.500 0.000
```

Calculated values
The formation energy from the elements is 200 kJ/mol of formula units. Its crystal system is tetragonal. The value obtained for the density of states at the Fermi level is 4.15 states/eV per cell. The density comes out at 14.4 g cm⁻³.

=====

Which total DFT energy (no corrections) belongs to each record? In order, -3.304; -1.388; -2.273; -6.167 eV per atom.